# 1
## CsIn4Pb2 (PBE-GGA)

Data for crystalline CsIn4Pb2 at its relaxed geometry.

Calculated values
energy above the most stable polymorph in this dataset = 60 meV/atom

a b c (Å): 7.133 19.134 4.953
angles (deg): 90.00 133.73 90.00
Space group C2/m (No. 12)
One atom of each set of equivalent atoms:
1 Cs 0.000 0.000 0.000 (multiplicity 2)
2 In 0.000 0.332 0.500 (multiplicity 4)
3 In 0.000 0.420 0.000 (multiplicity 4)
4 Pb 0.000 0.176 0.500 (multiplicity 4)


# 2
## Cs2InPb2 (PBE-GGA)

Data for crystalline Cs2InPb2 at its relaxed geometry.

Calculated values
energy above the most stable polymorph in this dataset = 0 meV/atom

a b c (Å): 13.574 5.665 13.118
angles (deg): 90.00 118.68 90.00
Space group C2/m (No. 12)
One atom of each set of equivalent atoms:
1 Cs 0.089 0.000 0.381 (multiplicity 4)
2 Cs 0.174 0.500 0.185 (multiplicity 4)
3 In 0.139 0.500 0.855 (multiplicity 4)
4 Pb 0.105 0.000 0.959 (multiplicity 4)
5 Pb 0.112 0.500 0.605 (multiplicity 4)